(1)
First-principles (SCAN) data for a PBEsol-optimized structure of SrCu2Ir, as listed in the Alexandria database.

Computed properties:
Formation enthalpy at 0 K = 812 meV per atom

Unit cell a=2.823 b=2.823 c=9.474 alpha=81.43 beta=81.43 gamma=60.00
Atoms (fractional coordinates):
Cu: 0.239 0.239 0.283
Cu: 0.761 0.761 0.717
Ir: 0.500 0.500 0.500
Sr: 0.000 0.000 0.000



(2)
First-principles (SCAN) data for a PBEsol-optimized structure of KIrW2, as listed in the Alexandria database.

Computed properties:
Formation enthalpy at 0 K = 755 meV per atom

Unit cell a=2.727 b=3.735 c=8.330 alpha=90.00 beta=90.00 gamma=90.00
Atoms (fractional coordinates):
Ir: 0.000 0.000 0.415
K: 0.500 0.500 0.729
W: 0.000 0.000 0.086
W: 0.500 0.500 0.271



| no. | offset from the most stable computed form (eV per atom) |
| --- | --- |
| 1 | 0.943 |
| 2 | 0.000 |